Entry 1:
Here is crystalline Zn2CuBr at its relaxed geometry from the Alexandria database. Energies are from PBE.

Computed properties:
The symmetry is F-43m, No. 216. The calculation puts the total magnetization at 0.00 μB per cell. For the energy relative to the elements, uncorrected, the calculation gives 0.4389 eV/atom. The value obtained for the density of states at the Fermi level is 0.9 states/eV/cell. The calculation puts the excess energy over the best structure of this formula in the dataset at 1.94 eV per formula unit.

POSCAR file:
```
Zn2CuBr
1.0
4.7894 0.0000 0.0000
2.3947 4.1477 0.0000
2.3947 1.3826 3.9105
Zn Cu Br
2 1 1
direct
0.0000 0.0000 0.0000
0.2500 0.2500 0.2500
0.7500 0.7500 0.7500
0.5000 0.5000 0.5000
```

Entry 2:
Here is crystalline NbV2P2 at its relaxed geometry from the Alexandria database. Energies are from PBE.

Computed properties:
The symmetry is P4/mbm, No. 127. The calculation puts the total magnetization at 0.00 μB per cell. The value obtained for the density of states at the Fermi level is 12.0 states/eV/cell. The formation energy comes out at -15.41 kcal/mol of atoms.

POSCAR file:
```
NbV2P2
1.0
6.6216 0.0000 0.0000
0.0000 6.6216 0.0000
0.0000 0.0000 3.1388
V P Nb
4 4 2
direct
0.3550 0.1450 0.5000
0.1450 0.6450 0.5000
0.6450 0.8550 0.5000
0.8550 0.3550 0.5000
0.8568 0.6432 0.0000
0.6432 0.1432 0.0000
0.3568 0.8568 0.0000
0.1432 0.3568 0.0000
0.5000 0.5000 0.0000
0.0000 0.0000 0.0000
```

Entry 3:
Here is crystalline SbTe2MoI at its relaxed geometry from the Alexandria database. Energies are from PBE.

Computed properties:
The symmetry is P4/mmm, No. 123. The calculation puts the total magnetization at 4.29 μB per cell. For the energy relative to the elements, uncorrected, the calculation gives 1.1255 eV/atom. The value obtained for the density of states at the Fermi level is 5.9 states/eV/cell. The calculation puts the excess energy over the best structure of this formula in the dataset at 4.13 eV per formula unit.

POSCAR file:
```
SbTe2MoI
1.0
-2.8814 1.6470 -4.7549
-2.9745 -4.9770 0.0786
-4.0667 2.4829 3.3244
I Mo Te Sb
1 1 2 1
direct
0.0000 0.0000 0.5000
0.5000 0.5000 0.5000
0.5000 0.0000 0.0000
0.0000 0.5000 0.0000
0.0000 0.0000 0.0000
```

Entry 4:
Here is crystalline Sm3BiO4 at its relaxed geometry from the Alexandria database. Energies are from PBE.

Computed properties:
The symmetry is P4/mmm, No. 123. The calculation puts the total magnetization at 0.00 μB per cell. For the energy relative to the elements, uncorrected, the calculation gives -2.8013 eV/atom. The value obtained for the density of states at the Fermi level is 2.1 states/eV/cell.

POSCAR file:
```
Sm3BiO4
1.0
-0.4297 3.7510 1.2461
0.5236 -1.1884 3.7578
10.2884 1.4976 -0.9600
O Sm Bi
4 3 1
direct
0.5000 0.0000 0.1373
0.0000 0.5000 0.1373
0.0000 0.5000 0.8627
0.5000 0.0000 0.8627
0.0000 0.0000 0.0000
0.5000 0.5000 0.2331
0.5000 0.5000 0.7669
0.0000 0.0000 0.5000
```

Entry 5:
Here is crystalline KMg4Sn3 at its relaxed geometry from the Alexandria database. Energies are from PBE.

Computed properties:
The symmetry is P4/mmm, No. 123. The calculation puts the total magnetization at 0.00 μB per cell. The value obtained for the density of states at the Fermi level is 3.0 states/eV/cell. The formation energy comes out at -4.97 kcal/mol of atoms.

POSCAR file:
```
KMg4Sn3
1.0
4.9016 0.0000 0.0000
0.0000 4.9016 0.0000
0.0000 0.0000 9.4901
Mg K Sn
4 1 3
direct
0.0000 0.5000 0.8186
0.0000 0.5000 0.1814
0.5000 0.0000 0.8186
0.5000 0.0000 0.1814
0.0000 0.0000 0.5000
0.5000 0.5000 0.6500
0.5000 0.5000 0.3500
0.0000 0.0000 0.0000
```

Entry 6:
Here is crystalline Be2IN at its relaxed geometry from the Alexandria database. Energies are from PBE.

Computed properties:
The symmetry is Fm-3m, No. 225. The calculation puts the total magnetization at 0.00 μB per cell. For the energy relative to the elements, uncorrected, the calculation gives 1.6345 eV/atom. The value obtained for the density of states at the Fermi level is 2.5 states/eV/cell. The calculation puts the excess energy over the best structure of this formula in the dataset at 8.35 eV per formula unit.

POSCAR file:
```
Be2IN
1.0
0.0000 2.9860 2.9860
2.9860 0.0000 2.9860
2.9860 2.9860 0.0000
Be I N
2 1 1
direct
0.7500 0.7500 0.7500
0.2500 0.2500 0.2500
0.5000 0.5000 0.5000
0.0000 0.0000 0.0000
```